First-principles (PBE) data for a geometry-optimized RbCuPO4 structure, as listed in Alexandria.

Summary:
The size of the total moment is 2.0 μB/cell. The value obtained for the total DFT energy (no corrections) is -6.03 eV per atom. The calculation puts the relative energy among the computed polymorphs at 60 meV per atom. The calculation puts the formation energy without anion corrections at -164.17 kJ/mol of atoms. For the theoretical density, the calculation gives 3.9 Mg/m³.

Lattice parameters (Å, degrees): 5.0359 5.6698 7.6344 90.00 105.53 90.00
Closest atoms and distances in Å follow each position.
Space group P2_1/m (No. 11)
One atom of each set of equivalent atoms:
Rb1 0.2134 0.2500 0.1238 [2 per cell]  7 O 2.97-3.20
Cu1 0.1256 0.7500 0.5002 [2 per cell]  5 O 2.02-2.09
P1 0.3752 0.2500 0.6898 [2 per cell]  4 O 1.52-1.61
O1 0.1628 0.0345 0.6773 [4 per cell]  1 P 1.61
O2 0.4071 0.7500 0.1292 [2 per cell]  1 P 1.52
O3 0.4821 0.2500 0.5206 [2 per cell]  1 P 1.53

***

First-principles (PBE) data for a geometry-optimized Tl7SbPb3 structure, as listed in Alexandria.

Summary:
The size of the total moment is 0.0 μB/cell. The value obtained for the total DFT energy (no corrections) is -2.84 eV per atom. The calculation puts the formation energy without anion corrections at 4.85 kJ/mol of atoms. For the theoretical density, the calculation gives 10.1 Mg/m³.

Lattice parameters (Å, degrees): 7.0323 7.0323 8.3226 90.00 90.00 120.00
Closest atoms and distances in Å follow each position.
Space group P3m1 (No. 156)
One atom of each set of equivalent atoms:
Tl1 0.0000 0.0000 0.0000 [1 per cell]  9 Tl 3.47-3.52, 3 Pb 3.53
Tl2 0.0078 0.5039 0.9855 [3 per cell]  2 Pb 3.43, 8 Tl 3.43-3.60, 1 Sb 3.49
Tl3 0.1727 0.3453 0.3317 [3 per cell]  7 Tl 3.39-3.64, 2 Pb 3.40, 2 Sb 3.52
Sb1 0.6667 0.3333 0.3227 [1 per cell]  3 Pb 3.42, 9 Tl 3.49-3.52
Pb1 0.3365 0.1683 0.6550 [3 per cell]  5 Tl 3.40-3.53, 1 Sb 3.42, 4 Pb 3.48-3.55

***

First-principles (PBE) data for a geometry-optimized Sr2Te4Ru structure, as listed in Alexandria.

Summary:
The size of the total moment is 2.9 μB/cell. The value obtained for the total DFT energy (no corrections) is -4.28 eV per atom. The calculation puts the formation energy without anion corrections at -65.63 kJ/mol of atoms. For the theoretical density, the calculation gives 5.6 Mg/m³.

Lattice parameters (Å, degrees): 5.1779 5.1779 17.3103 90.00 90.00 90.00
Closest atoms and distances in Å follow each position.
Space group I4/mmm (No. 139)
One atom of each set of equivalent atoms:
Sr1 0.0000 0.0000 0.1457 [4 per cell]  9 Te 3.29-3.68
Te1 0.0000 0.0000 0.3355 [4 per cell]  1 Ru 2.85
Te2 0.0000 0.5000 0.0000 [4 per cell]  2 Ru 2.59
Ru1 0.0000 0.0000 0.5000 [2 per cell]  6 Te 2.59-2.85

***

First-principles (PBE) data for a geometry-optimized ErCuNiSn structure, as listed in Alexandria.

Summary:
The size of the total moment is 0.0 μB/cell. The value obtained for the total DFT energy (no corrections) is -5.05 eV per atom. Its energy of formation is -0.44 eV/atom. For the theoretical density, the calculation gives 9.8 Mg/m³.

Lattice parameters (Å, degrees): 6.5132 6.5132 6.5132 90.00 90.00 90.00
Closest atoms and distances in Å follow each position.
Space group F-43m (No. 216)
One atom of each set of equivalent atoms:
Er1 0.0000 0.0000 0.0000 [4 per cell]  4 Ni 2.82, 4 Cu 2.82
Cu1 0.2500 0.2500 0.7500 [4 per cell]  4 Sn 2.82, 4 Er 2.82
Ni1 0.2500 0.2500 0.2500 [4 per cell]  4 Sn 2.82, 4 Er 2.82
Sn1 0.0000 0.0000 0.5000 [4 per cell]  4 Ni 2.82, 4 Cu 2.82

***

First-principles (PBE) data for a geometry-optimized Pm2ThSc6 structure, as listed in Alexandria.

Summary:
The size of the total moment is 0.0 μB/cell. The value obtained for the total DFT energy (no corrections) is -6.05 eV per atom. Its energy of formation is 0.05 eV/atom. For the theoretical density, the calculation gives 5.3 Mg/m³.

Lattice parameters (Å, degrees): 16.0660 9.2794 3.3112 90.00 90.07 90.00
Closest atoms and distances in Å follow each position.
Space group C2/m (No. 12)
One atom of each set of equivalent atoms:
Pm1 0.1667 0.0000 0.0008 [4 per cell]  2 Pm 3.31, 12 Sc 3.51-3.52
Th1 0.0000 0.5000 0.0000 [2 per cell]  2 Th 3.31, 12 Sc 3.49
Sc1 0.0000 0.1684 0.5000 [4 per cell]  5 Sc 3.07-3.31
Sc2 0.1657 0.3342 0.4991 [8 per cell]  5 Sc 3.07-3.31

***

First-principles (PBE) data for a geometry-optimized LiMg2Sb2 structure, as listed in Alexandria.

Summary:
The size of the total moment is 0.0 μB/cell. The value obtained for the total DFT energy (no corrections) is -2.94 eV per atom. The calculation puts the relative energy among the computed polymorphs at 23 meV per atom. The calculation puts the formation energy without anion corrections at -26.02 kJ/mol of atoms. For the theoretical density, the calculation gives 4.0 Mg/m³.

Lattice parameters (Å, degrees): 8.3539 8.3539 3.5572 90.00 90.00 90.00
Closest atoms and distances in Å follow each position.
Space group P4/mbm (No. 127)
One atom of each set of equivalent atoms:
Li1 0.0000 0.0000 0.0000 [2 per cell]  4 Sb 3.10
Mg1 0.1311 0.3689 0.5000 [4 per cell]  6 Sb 2.95-3.09, 1 Mg 3.10
Sb1 0.1695 0.6695 0.0000 [4 per cell]  6 Mg 2.95-3.09, 2 Li 3.10

***

First-principles (PBE) data for a geometry-optimized V5Tc4Mo structure, as listed in Alexandria.

Summary:
The size of the total moment is 0.0 μB/cell. The value obtained for the total DFT energy (no corrections) is -10.11 eV per atom. Its energy of formation is -0.32 eV/atom. For the theoretical density, the calculation gives 8.8 Mg/m³.

Lattice parameters (Å, degrees): 3.0347 3.0347 15.2032 90.00 90.00 90.00
Closest atoms and distances in Å follow each position.
Space group P4/mmm (No. 123)
One atom of each set of equivalent atoms:
V1 0.0000 0.0000 0.0000 [1 per cell]  8 Tc 2.62
V2 0.0000 0.0000 0.1991 [2 per cell]  8 Tc 2.62-2.63
V3 0.0000 0.0000 0.3982 [2 per cell]  4 Tc 2.63, 4 Mo 2.65
Tc1 0.5000 0.5000 0.0994 [2 per cell]  8 V 2.62-2.63
Tc2 0.5000 0.5000 0.2981 [2 per cell]  8 V 2.62-2.63
Mo1 0.5000 0.5000 0.5000 [1 per cell]  8 V 2.65

***

First-principles (PBE) data for a geometry-optimized Li3HoPt3 structure, as listed in Alexandria.

Summary:
The size of the total moment is 0.0 μB/cell. The value obtained for the total DFT energy (no corrections) is -4.04 eV per atom. Its energy of formation is 0.02 eV/atom. For the theoretical density, the calculation gives 10.0 Mg/m³.

Lattice parameters (Å, degrees): 6.3544 6.3544 6.3544 90.00 90.00 90.00
Closest atoms and distances in Å follow each position.
Space group Pm-3n (No. 223)
One atom of each set of equivalent atoms:
Li1 0.0000 0.2500 0.5000 [6 per cell]  4 Pt 2.25
Ho1 0.0000 0.0000 0.0000 [2 per cell]  12 Li 3.55, 12 Pt 3.55
Pt1 0.0000 0.5000 0.2500 [6 per cell]  4 Li 2.25

***

First-principles (PBE) data for a geometry-optimized Ga2HgBr8 structure, as listed in Alexandria.

Summary:
The size of the total moment is 0.0 μB/cell. The value obtained for the total DFT energy (no corrections) is -2.50 eV per atom. The calculation puts the relative energy among the computed polymorphs at 3 meV per atom. The calculation puts the formation energy without anion corrections at -68.33 kJ/mol of atoms. For the theoretical density, the calculation gives 3.8 Mg/m³.

Lattice parameters (Å, degrees): 12.2419 10.7244 6.5979 90.00 94.15 90.00
Closest atoms and distances in Å follow each position.
Space group C2/m (No. 12)
One atom of each set of equivalent atoms:
Ga1 0.2126 0.0000 0.1434 [4 per cell]  4 Br 2.31-2.42
Hg1 0.0000 0.0000 0.5000 [2 per cell]  6 Br 2.82-3.03
Br1 0.1065 0.5000 0.7319 [4 per cell]  1 Ga 2.31
Br2 0.1097 0.1734 0.2659 [8 per cell]  1 Ga 2.42
Br3 0.2061 0.0000 0.7838 [4 per cell]  1 Ga 2.37

***

First-principles (PBE) data for a geometry-optimized LiSmBe2H8 structure, as listed in Alexandria.

Summary:
The size of the total moment is 0.0 μB/cell. The value obtained for the total DFT energy (no corrections) is -3.71 eV per atom. For the theoretical density, the calculation gives 2.8 Mg/m³.

Lattice parameters (Å, degrees): 4.3783 4.3783 6.5189 90.00 90.00 120.00
Closest atoms and distances in Å follow each position.
Space group P-3 (No. 147)
One atom of each set of equivalent atoms:
Li1 0.0000 0.0000 0.0000 [1 per cell]  6 H 1.90
Sm1 0.0000 0.0000 0.5000 [1 per cell]  12 H 2.31-2.53
Be1 0.3333 0.6667 0.2575 [2 per cell]  4 H 1.41-1.49
H1 0.0574 0.3265 0.2098 [6 per cell]  1 Be 1.41
H2 0.3333 0.6667 0.4859 [2 per cell]  1 Be 1.49

***

First-principles (PBE) data for a geometry-optimized PrSc2Au structure, as listed in Alexandria.

Summary:
The size of the total moment is 0.0 μB/cell. The value obtained for the total DFT energy (no corrections) is -5.24 eV per atom. Its energy of formation is -0.06 eV/atom. The calculation puts the relative energy among the computed polymorphs at 311 meV per atom. For the theoretical density, the calculation gives 6.6 Mg/m³.

Lattice parameters (Å, degrees): 3.4214 3.4214 31.7680 90.00 90.00 120.00
Closest atoms and distances in Å follow each position.
Space group R-3m (No. 166, hexagonal axes)
One atom of each set of equivalent atoms:
Pr1 0.0000 0.0000 0.0000 [3 per cell]  2 Sc 3.29, 6 Pr 3.42
Sc1 0.0000 0.0000 0.1035 [6 per cell]  3 Au 2.82
Au1 0.0000 0.0000 0.5000 [3 per cell]  6 Sc 2.82

***

First-principles (PBE) data for a geometry-optimized K2AcScF8 structure, as listed in Alexandria.

Summary:
The size of the total moment is 0.1 μB/cell. The value obtained for the total DFT energy (no corrections) is -5.93 eV per atom. The calculation puts the formation energy without anion corrections at -349.80 kJ/mol of atoms. For the theoretical density, the calculation gives 4.1 Mg/m³.

Lattice parameters (Å, degrees): 4.2677 7.7504 6.1719 90.00 94.86 90.00
Closest atoms and distances in Å follow each position.
Space group P2/m (No. 10)
One atom of each set of equivalent atoms:
K1 0.0000 0.2290 0.0000 [2 per cell]  8 F 2.61-2.89
Ac1 0.5000 0.5000 0.5000 [1 per cell]  8 F 2.46-2.63
Sc1 0.5000 0.0000 0.5000 [1 per cell]  6 F 2.02-2.14
F1 0.0045 0.5000 0.7261 [2 per cell]  2 Ac 2.46-2.63, 2 K 2.70
F2 0.0923 0.0000 0.3094 [2 per cell]  1 Sc 2.02
F3 0.4401 0.2186 0.7031 [4 per cell]  1 Sc 2.14

***

> Among the records above, which one has the lowest theoretical density?

LiSmBe2H8

***

> Which value of total DFT energy (no corrections) does entry 12 give?

-5.93 eV per atom

***

> Which value of total DFT energy (no corrections) does entry 7 give?

-10.11 eV per atom